Density functional theory data (GGA-PBE) for a relaxed structure of CsNaCu2Ir.

Properties
D(E_F)   0.38 states/eV/atom
DFT formation energy   2116 meV/atom

abc: 5.1741 5.1741 5.3882
angles: 90.00 90.00 90.00
Space group P4/mmm (No. 123)
Asymmetric unit:
Cs 0.0000 0.0000 0.0000 [1 per cell]
Na 0.0000 0.0000 0.5000 [1 per cell]
Cu 0.0000 0.5000 0.0000 [2 per cell]
Ir 0.5000 0.5000 0.5000 [1 per cell]